Material: Ag2Pt
Method: DFT, GGA-PBE
State: optimized geometry

Summary:
The formation energy from the elements comes out at 0.07 eV/atom.

Cell lengths 4.6175, 4.6175, 2.7778 Å; angles 90.00, 90.00, 120.00 degrees
Last column: nearest neighbours and their distance in Å.
Positions (direct):
Ag  0.3333  0.6667  0.1538  5 Ag 2.78-2.80, 3 Pt 2.83
Ag  0.6667  0.3333  0.8462  5 Ag 2.78-2.80, 3 Pt 2.83
Pt  0.0000  0.0000  0.5000  2 Pt 2.78, 6 Ag 2.83